VASP calculation (PBE-GGA) on a relaxed Ac5CeTl6 crystal.

Unit cell a=10.0379 b=17.4116 c=5.8131 alpha=90.00 beta=125.33 gamma=90.00
Last column: nearest neighbours and their distance in Å.
Space group C2/m (No. 12)
Asymmetric unit:
Ac (0.0000, 0.0000, 0.0000) [2 per cell]  8 Tl 3.53-3.63
Ac (0.0000, 0.1638, 0.5000) [4 per cell]  8 Tl 3.58-3.62
Ac (0.0000, 0.3289, 0.0000) [4 per cell]  8 Tl 3.52-3.58
Ce (0.0000, 0.5000, 0.5000) [2 per cell]  8 Tl 3.46-3.49
Tl (0.2356, 0.5000, 0.2345) [4 per cell]  2 Ce 3.48-3.49, 6 Ac 3.55-3.63, 1 Tl 3.86
Tl (0.2421, 0.3375, 0.7420) [8 per cell]  1 Ce 3.46, 7 Ac 3.52-3.62

Energy of formation from the pure elements ... -0.32 eV/atom
Raw total energy ... -3.7080 eV/atom
Magnetic moment ... 1.20 μB/f.u.

---

VASP calculation (PBE-GGA) on a relaxed Ac2CeTl crystal.

Unit cell a=3.8959 b=3.8959 c=34.6617 alpha=90.00 beta=90.00 gamma=120.00
Last column: nearest neighbours and their distance in Å.
Space group R3m (No. 160, hexagonal axes)
Asymmetric unit:
Ac (0.0000, 0.0000, 0.0000) [3 per cell]  3 Tl 3.56, 3 Ce 3.79, 6 Ac 3.90
Ac (0.0000, 0.0000, 0.1748) [3 per cell]  3 Tl 3.54, 3 Ce 3.76, 6 Ac 3.90
Ce (0.0000, 0.0000, 0.7545) [3 per cell]  6 Ac 3.76-3.79, 6 Ce 3.90
Tl (0.0000, 0.0000, 0.5871) [3 per cell]  6 Ac 3.54-3.56, 6 Tl 3.90

Polymorph energy (0 for the lowest one) ... 73 meV per atom
Energy of formation from the pure elements ... 0.02 eV/atom
Raw total energy ... -4.1130 eV/atom
Magnetic moment ... 1.69 μB/f.u.

---

VASP calculation (PBE-GGA) on a relaxed AcCeTl crystal.

Unit cell a=5.5302 b=5.5302 c=3.8650 alpha=90.00 beta=90.00 gamma=120.00
Last column: nearest neighbours and their distance in Å.
Space group P3m1 (No. 156)
Asymmetric unit:
Ac (0.0000, 0.0000, 0.0000) [1 per cell]  3 Tl 3.53, 6 Ce 3.60-3.88, 2 Ac 3.86
Ce (0.3333, 0.6667, 0.4312) [1 per cell]  3 Tl 3.27, 3 Ac 3.60
Tl (0.6667, 0.3333, 0.6134) [1 per cell]  3 Ce 3.27, 3 Ac 3.53

Polymorph energy (0 for the lowest one) ... 156 meV per atom
Energy of formation from the pure elements ... -0.04 eV/atom
Raw total energy ... -4.1744 eV/atom
Magnetic moment ... 1.53 μB/f.u.

---

VASP calculation (PBE-GGA) on a relaxed AcCeTl4 crystal.

Unit cell a=9.5890 b=6.0031 c=7.7066 alpha=90.00 beta=113.73 gamma=90.00
Last column: nearest neighbours and their distance in Å.
Space group C2/m (No. 12)
Asymmetric unit:
Ac (0.0000, 0.0000, 0.0000) [2 per cell]  8 Tl 3.42-3.46
Ce (0.0000, 0.0000, 0.5000) [2 per cell]  8 Tl 3.29-3.40
Tl (0.1816, 0.5000, 0.5752) [4 per cell]  1 Tl 3.20, 3 Ce 3.33-3.40, 1 Ac 3.46
Tl (0.1862, 0.5000, 0.1094) [4 per cell]  2 Tl 3.28-3.61, 1 Ce 3.29, 3 Ac 3.42-3.44

Polymorph energy (0 for the lowest one) ... 85 meV per atom
Energy of formation from the pure elements ... -0.05 eV/atom
Raw total energy ... -3.2986 eV/atom
Magnetic moment ... 1.09 μB/f.u.

---

VASP calculation (PBE-GGA) on a relaxed Ac2CeTl crystal.

Unit cell a=8.3067 b=8.3067 c=8.3067 alpha=90.00 beta=90.00 gamma=90.00
Last column: nearest neighbours and their distance in Å.
Space group Fm-3m (No. 225)
Asymmetric unit:
Ac (0.2500, 0.2500, 0.2500) [8 per cell]  4 Tl 3.60, 4 Ce 3.60
Ce (0.0000, 0.0000, 0.0000) [4 per cell]  8 Ac 3.60
Tl (0.0000, 0.0000, 0.5000) [4 per cell]  8 Ac 3.60

Polymorph energy (0 for the lowest one) ... 131 meV per atom
Energy of formation from the pure elements ... 0.07 eV/atom
Raw total energy ... -4.0547 eV/atom
Magnetic moment ... 1.21 μB/f.u.

---

VASP calculation (PBE-GGA) on a relaxed Ac3CeTl4 crystal.

Unit cell a=4.0584 b=4.0584 c=16.4937 alpha=90.00 beta=90.00 gamma=90.00
Last column: nearest neighbours and their distance in Å.
Space group P4/mmm (No. 123)
Asymmetric unit:
Ac (0.0000, 0.0000, 0.0000) [1 per cell]  8 Tl 3.59
Ac (0.0000, 0.0000, 0.2589) [2 per cell]  8 Tl 3.56-3.59, 1 Ce 3.98
Ce (0.0000, 0.0000, 0.5000) [1 per cell]  8 Tl 3.40
Tl (0.5000, 0.5000, 0.1308) [2 per cell]  8 Ac 3.56-3.59
Tl (0.5000, 0.5000, 0.3893) [2 per cell]  4 Ce 3.40, 4 Ac 3.59, 1 Tl 3.65

Polymorph energy (0 for the lowest one) ... 0 meV per atom
Energy of formation from the pure elements ... -0.31 eV/atom
Raw total energy ... -3.7728 eV/atom
Magnetic moment ... 1.19 μB/f.u.

---

VASP calculation (PBE-GGA) on a relaxed Ac2Ce2Tl7 crystal.

Unit cell a=10.6197 b=11.9420 c=6.4944 alpha=90.00 beta=90.00 gamma=90.00
Last column: nearest neighbours and their distance in Å.
Space group Cmmm (No. 65)
Asymmetric unit:
Ac (0.1960, 0.0000, 0.0000) [4 per cell]  6 Tl 3.41-3.57
Ce (0.0000, 0.2728, 0.5000) [4 per cell]  7 Tl 3.16-3.26
Tl (0.0000, 0.0000, 0.5000) [2 per cell]  2 Ce 3.26
Tl (0.0000, 0.5000, 0.2339) [4 per cell]  1 Tl 3.04, 2 Ce 3.22
Tl (0.2500, 0.2500, 0.2393) [8 per cell]  2 Tl 3.11-3.39, 2 Ce 3.16, 2 Ac 3.41

Energy of formation from the pure elements ... 0.08 eV/atom
Raw total energy ... -3.2489 eV/atom
Magnetic moment ... 2.21 μB/f.u.

---

VASP calculation (PBE-GGA) on a relaxed AcCe2Tl crystal.

Unit cell a=8.0036 b=8.0036 c=8.0036 alpha=90.00 beta=90.00 gamma=90.00
Last column: nearest neighbours and their distance in Å.
Space group Fm-3m (No. 225)
Asymmetric unit:
Ac (0.0000, 0.0000, 0.0000) [4 per cell]  8 Ce 3.47
Ce (0.2500, 0.2500, 0.2500) [8 per cell]  4 Ac 3.47, 4 Tl 3.47
Tl (0.0000, 0.0000, 0.5000) [4 per cell]  8 Ce 3.47

Polymorph energy (0 for the lowest one) ... 150 meV per atom
Energy of formation from the pure elements ... 0.10 eV/atom
Raw total energy ... -4.4822 eV/atom
Magnetic moment ... 3.13 μB/f.u.

---

VASP calculation (PBE-GGA) on a relaxed AcCeTl crystal.

Unit cell a=3.6843 b=4.5580 c=12.1223 alpha=90.00 beta=90.02 gamma=90.00
Last column: nearest neighbours and their distance in Å.
Space group P2_1/m (No. 11)
Asymmetric unit:
Ac (0.0013, 0.2500, 0.3650) [2 per cell]  4 Tl 3.56, 1 Ce 3.57, 2 Ac 3.68
Ce (0.0001, 0.2500, 0.0706) [2 per cell]  2 Ce 2.85
Tl (0.4998, 0.2500, 0.8018) [2 per cell]  4 Ce 3.31, 4 Ac 3.56, 2 Tl 3.68

Polymorph energy (0 for the lowest one) ... 127 meV per atom
Energy of formation from the pure elements ... -0.07 eV/atom
Raw total energy ... -4.2033 eV/atom
Magnetic moment ... 1.07 μB/f.u.

---

VASP calculation (PBE-GGA) on a relaxed AcCeTl crystal.

Unit cell a=4.8416 b=4.8416 c=8.9217 alpha=90.00 beta=90.00 gamma=90.00
Last column: nearest neighbours and their distance in Å.
Space group P4/nmm (No. 129, origin choice 2)
Asymmetric unit:
Ac (0.2500, 0.2500, 0.1436) [2 per cell]  5 Tl 3.46-3.54
Ce (0.2500, 0.7500, 0.5000) [2 per cell]  4 Tl 3.33, 4 Ce 3.42
Tl (0.2500, 0.2500, 0.7563) [2 per cell]  4 Ce 3.33, 5 Ac 3.46-3.54

Polymorph energy (0 for the lowest one) ... 0 meV per atom
Energy of formation from the pure elements ... -0.19 eV/atom
Raw total energy ... -4.3308 eV/atom
Magnetic moment ... 1.58 μB/f.u.

---

VASP calculation (PBE-GGA) on a relaxed AcCe2Tl crystal.

Unit cell a=4.9668 b=4.9668 c=5.1440 alpha=90.00 beta=90.00 gamma=90.00
Last column: nearest neighbours and their distance in Å.
Space group P4/mmm (No. 123)
Asymmetric unit:
Ac (0.0000, 0.0000, 0.0000) [1 per cell]  4 Tl 3.51, 8 Ce 3.58
Ce (0.0000, 0.5000, 0.5000) [2 per cell]  4 Ce 3.51, 4 Ac 3.58, 4 Tl 3.58
Tl (0.5000, 0.5000, 0.0000) [1 per cell]  4 Ac 3.51, 8 Ce 3.58

Polymorph energy (0 for the lowest one) ... 0 meV per atom
Energy of formation from the pure elements ... -0.05 eV/atom
Raw total energy ... -4.6323 eV/atom
Magnetic moment ... 2.55 μB/f.u.

---

VASP calculation (PBE-GGA) on a relaxed Ac5CeTl4 crystal.

Unit cell a=19.1149 b=4.0826 c=9.7846 alpha=90.00 beta=96.79 gamma=90.00
Last column: nearest neighbours and their distance in Å.
Space group C2/m (No. 12)
Asymmetric unit:
Ac (0.0000, 0.0000, 0.0000) [2 per cell]  4 Tl 3.48
Ac (0.1358, 0.5000, 0.7121) [4 per cell]  4 Tl 3.59-3.86, 2 Ce 3.73, 2 Ac 3.98
Ac (0.1965, 0.5000, 0.1215) [4 per cell]  3 Tl 3.34-3.66
Ce (0.0000, 0.0000, 0.5000) [2 per cell]  4 Tl 3.20
Tl (0.0518, 0.5000, 0.2817) [4 per cell]  2 Ce 3.20, 3 Ac 3.34-3.48, 2 Tl 3.42
Tl (0.1836, 0.0000, 0.4284) [4 per cell]  4 Tl 3.42-3.43, 4 Ac 3.65-3.66, 1 Ce 3.66

Polymorph energy (0 for the lowest one) ... 134 meV per atom
Energy of formation from the pure elements ... -0.10 eV/atom
Raw total energy ... -3.6954 eV/atom
Magnetic moment ... 1.05 μB/f.u.

---

VASP calculation (PBE-GGA) on a relaxed AcCeYTl crystal.

Unit cell a=7.9739 b=7.9739 c=7.9739 alpha=90.00 beta=90.00 gamma=90.00
Last column: nearest neighbours and their distance in Å.
Space group F-43m (No. 216)
Asymmetric unit:
Ac (0.0000, 0.0000, 0.0000) [4 per cell]  4 Y 3.45, 4 Ce 3.45
Ce (0.2500, 0.2500, 0.2500) [4 per cell]  4 Ac 3.45, 4 Tl 3.45
Y (0.2500, 0.2500, 0.7500) [4 per cell]  4 Ac 3.45, 4 Tl 3.45
Tl (0.0000, 0.0000, 0.5000) [4 per cell]  4 Ce 3.45, 4 Y 3.45

Energy of formation from the pure elements ... 0.05 eV/atom
Raw total energy ... -4.6635 eV/atom
Magnetic moment ... 1.28 μB/f.u.

---

VASP calculation (PBE-GGA) on a relaxed AcCeTlZn crystal.

Unit cell a=7.8514 b=7.8514 c=7.8514 alpha=90.00 beta=90.00 gamma=90.00
Last column: nearest neighbours and their distance in Å.
Space group F-43m (No. 216)
Asymmetric unit:
Ac (0.0000, 0.0000, 0.0000) [4 per cell]  4 Zn 3.40, 4 Tl 3.40
Ce (0.0000, 0.0000, 0.5000) [4 per cell]  4 Tl 3.40, 4 Zn 3.40
Tl (0.2500, 0.2500, 0.2500) [4 per cell]  4 Ac 3.40, 4 Ce 3.40
Zn (0.2500, 0.2500, 0.7500) [4 per cell]  4 Ce 3.40, 4 Ac 3.40

Energy of formation from the pure elements ... -0.19 eV/atom
Raw total energy ... -3.6076 eV/atom
Magnetic moment ... 1.79 μB/f.u.

---

VASP calculation (PBE-GGA) on a relaxed AcCe2Tl2Zn2 crystal.

Unit cell a=4.6629 b=4.6629 c=29.6830 alpha=90.00 beta=90.00 gamma=120.00
Last column: nearest neighbours and their distance in Å.
Space group R-3m (No. 166, hexagonal axes)
Asymmetric unit:
Ac (0.0000, 0.0000, 0.0000) [3 per cell]  6 Tl 3.43
Ce (0.0000, 0.0000, 0.1459) [6 per cell]  3 Ce 2.96, 3 Zn 3.09
Tl (0.0000, 0.0000, 0.2619) [6 per cell]  3 Zn 2.78
Zn (0.0000, 0.0000, 0.4284) [6 per cell]  3 Tl 2.78, 3 Ce 3.09

Energy of formation from the pure elements ... -0.19 eV/atom
Raw total energy ... -3.5096 eV/atom
Magnetic moment ... 1.94 μB/f.u.

---

VASP calculation (PBE-GGA) on a relaxed AcCeTm crystal.

Unit cell a=3.6774 b=3.6774 c=8.8739 alpha=90.00 beta=90.00 gamma=120.00
Last column: nearest neighbours and their distance in Å.
Space group P3m1 (No. 156)
Asymmetric unit:
Ac (0.0000, 0.0000, 0.0000) [1 per cell]  6 Ac 3.68, 3 Ce 3.70, 3 Tm 3.73
Ce (0.3333, 0.6667, 0.6589) [1 per cell]  3 Tm 3.50, 6 Ce 3.68, 3 Ac 3.70
Tm (0.6667, 0.3333, 0.3452) [1 per cell]  3 Ce 3.50, 6 Tm 3.68, 3 Ac 3.73

Polymorph energy (0 for the lowest one) ... 17 meV per atom
Energy of formation from the pure elements ... 0.14 eV/atom
Raw total energy ... -4.6961 eV/atom
Magnetic moment ... 1.07 μB/f.u.

---

VASP calculation (PBE-GGA) on a relaxed Ac2CeTm crystal.

Unit cell a=5.3549 b=5.3549 c=5.1785 alpha=90.00 beta=90.00 gamma=90.00
Last column: nearest neighbours and their distance in Å.
Space group P4/mmm (No. 123)
Asymmetric unit:
Ac (0.0000, 0.5000, 0.0000) [2 per cell]  4 Ce 3.72, 4 Tm 3.72, 4 Ac 3.79
Ce (0.0000, 0.0000, 0.5000) [1 per cell]  8 Ac 3.72, 4 Tm 3.79
Tm (0.5000, 0.5000, 0.5000) [1 per cell]  8 Ac 3.72, 4 Ce 3.79

Polymorph energy (0 for the lowest one) ... 5 meV per atom
Energy of formation from the pure elements ... 0.13 eV/atom
Raw total energy ... -4.5275 eV/atom
Magnetic moment ... 1.13 μB/f.u.

---

VASP calculation (PBE-GGA) on a relaxed AcCe4Tm crystal.

Unit cell a=9.0684 b=9.0684 c=9.0684 alpha=90.00 beta=90.00 gamma=90.00
Last column: nearest neighbours and their distance in Å.
Space group F-43m (No. 216)
Asymmetric unit:
Ac (0.0000, 0.0000, 0.0000) [4 per cell]  12 Ce 3.78, 4 Tm 3.93
Ce (0.1186, 0.1186, 0.3814) [16 per cell]  6 Ce 3.04-3.37
Tm (0.2500, 0.2500, 0.7500) [4 per cell]  12 Ce 3.74, 4 Ac 3.93

Energy of formation from the pure elements ... 0.20 eV/atom
Raw total energy ... -5.1883 eV/atom
Magnetic moment ... 3.74 μB/f.u.

---

VASP calculation (PBE-GGA) on a relaxed AcCeTm crystal.

Unit cell a=3.6969 b=3.6969 c=15.1494 alpha=90.00 beta=90.00 gamma=90.00
Last column: nearest neighbours and their distance in Å.
Space group I4mm (No. 107)
Asymmetric unit:
Ac (0.0000, 0.0000, 0.0000) [2 per cell]  4 Ce 3.67, 4 Ac 3.70, 4 Tm 3.76
Ce (0.0000, 0.0000, 0.3300) [2 per cell]  4 Tm 3.47, 4 Ac 3.67, 4 Ce 3.70
Tm (0.0000, 0.0000, 0.6788) [2 per cell]  4 Ce 3.47, 4 Tm 3.70, 4 Ac 3.76

Polymorph energy (0 for the lowest one) ... 3 meV per atom
Energy of formation from the pure elements ... 0.13 eV/atom
Raw total energy ... -4.7094 eV/atom
Magnetic moment ... 0.80 μB/f.u.

---

VASP calculation (PBE-GGA) on a relaxed AcCeTm2 crystal.

Unit cell a=3.6915 b=3.6915 c=9.7964 alpha=90.00 beta=90.00 gamma=90.00
Last column: nearest neighbours and their distance in Å.
Space group P4/mmm (No. 123)
Asymmetric unit:
Ac (0.0000, 0.0000, 0.0000) [1 per cell]  4 Ac 3.69, 8 Tm 3.71
Ce (0.0000, 0.0000, 0.5000) [1 per cell]  8 Tm 3.45, 4 Ce 3.69
Tm (0.5000, 0.5000, 0.2696) [2 per cell]  4 Ce 3.45, 4 Tm 3.69, 4 Ac 3.71

Polymorph energy (0 for the lowest one) ... 0 meV per atom
Energy of formation from the pure elements ... 0.09 eV/atom
Raw total energy ... -4.6527 eV/atom
Magnetic moment ... 0.55 μB/f.u.